Record 1
DFT (PBE) results for a geometry-optimized RbNi2H7 structure.

Unit cell a=3.443 b=5.464 c=5.464 alpha=126.07 beta=90.00 gamma=90.00
Positions (direct):
Rb 0.000 0.000 0.000
Ni 0.500 0.685 0.315
Ni 0.500 0.315 0.685
H 0.000 0.673 0.327
H 0.000 0.327 0.673
H 0.500 0.005 0.354
H 0.500 0.995 0.646
H 0.500 0.354 0.005
H 0.500 0.646 0.995
H 0.500 0.500 0.500

Calculated values
- symmetry = Cmmm


Record 2
DFT (PBE) results for a geometry-optimized BiSbP2Cl structure.

Unit cell a=5.330 b=5.330 c=5.122 alpha=90.00 beta=90.00 gamma=90.00
Positions (direct):
Sb 0.500 0.500 0.500
Bi 0.000 0.000 0.000
P 0.000 0.500 0.000
P 0.500 0.000 0.000
Cl 0.000 0.000 0.500

Calculated values
- symmetry = P4/mmm
- ΔE_f (raw) (eV/atom) = 0.79


Record 3
DFT (PBE) results for a geometry-optimized Cu2BiP2 structure.

Unit cell a=4.286 b=4.286 c=5.533 alpha=67.22 beta=67.22 gamma=90.00
Positions (direct):
P 0.378 0.378 0.244
P 0.622 0.622 0.756
Bi 0.000 0.000 0.000
Cu 0.750 0.250 0.500
Cu 0.250 0.750 0.500

Calculated values
- symmetry = I4/mmm
- calculated formation energy (meV per atom) = 158


Record 4
DFT (PBE) results for a geometry-optimized Ti5NbGe6 structure.

Unit cell a=6.407 b=6.331 c=6.365 alpha=60.18 beta=80.43 gamma=70.46
Positions (direct):
Ti 0.500 0.165 0.670
Ti 0.000 0.333 0.334
Ti 0.500 0.500 0.000
Ti 0.000 0.667 0.666
Ti 0.500 0.835 0.330
Nb 0.000 0.000 0.000
Ge 0.747 0.084 0.337
Ge 0.253 0.578 0.337
Ge 0.251 0.254 0.000
Ge 0.749 0.746 0.000
Ge 0.747 0.422 0.663
Ge 0.253 0.916 0.663

Calculated values
- symmetry = C2/m
- calculated formation energy (meV per atom) = -425


no.,total energy (eV per cell)
1,-35.86
2,-16.72
3,-22.10
4,-82.34